## TePSe4 (GGA-PBE)

Data for a geometry-optimized TePSe4 structure.

- DOS at the Fermi energy (states/eV/cell) = 3.51
- raw total energy (eV per atom) = -3.641
- uncorrected formation energy (eV per atom) = 0.11
- total moment (Bohr magnetons per cell) = 0.00

Unit cell a=9.4957 b=8.1523 c=7.1359 alpha=97.27 beta=106.47 gamma=131.95
Fractional coordinates of all 12 atoms:
Te 0.9203 0.6703 0.8407
Te 0.0797 0.3297 0.1593
P 0.4306 0.1806 0.8611
P 0.5694 0.8194 0.1389
Se 0.6387 0.6797 0.3435
Se 0.7094 0.8579 0.8983
Se 0.2952 0.8362 0.6565
Se 0.8111 0.4596 0.1017
Se 0.3613 0.3203 0.6565
Se 0.7048 0.1638 0.3435
Se 0.2906 0.1421 0.1017
Se 0.1889 0.5404 0.8983

***

## TeP2Se (GGA-PBE)

Data for a geometry-optimized TeP2Se structure.

- DOS at the Fermi energy (states/eV/cell) = 2.94
- raw total energy (eV per atom) = -3.796
- uncorrected formation energy (eV per atom) = 0.57
- total moment (Bohr magnetons per cell) = 0.00

Unit cell a=8.2315 b=8.2315 c=8.2315 alpha=154.21 beta=154.21 gamma=36.80
Fractional coordinates of all 4 atoms:
P 0.0000 0.0000 0.0000
P 0.2500 0.7500 0.5000
Se 0.5000 0.5000 0.0000
Te 0.7500 0.2500 0.5000

***

## TePSe2 (GGA-PBE)

Data for a geometry-optimized TePSe2 structure.

- DOS at the Fermi energy (states/eV/cell) = 4.73
- raw total energy (eV per atom) = -3.246
- uncorrected formation energy (eV per atom) = 0.63
- total moment (Bohr magnetons per cell) = 0.00

Unit cell a=4.8952 b=4.8952 c=4.8952 alpha=60.00 beta=60.00 gamma=60.00
Fractional coordinates of all 4 atoms:
Te 0.2500 0.2500 0.2500
P 0.5000 0.5000 0.5000
Se 0.0000 0.0000 0.0000
Se 0.7500 0.7500 0.7500

***

## TeP2Se (GGA-PBE)

Data for a geometry-optimized TeP2Se structure.

- DOS at the Fermi energy (states/eV/cell) = 2.08
- raw total energy (eV per atom) = -4.112
- uncorrected formation energy (eV per atom) = 0.25
- total moment (Bohr magnetons per cell) = 0.00

Unit cell a=7.1275 b=7.1275 c=7.1275 alpha=30.52 beta=30.52 gamma=30.52
Fractional coordinates of all 4 atoms:
P 0.9868 0.9868 0.9868
P 0.2582 0.2582 0.2582
Se 0.5148 0.5148 0.5148
Te 0.7403 0.7403 0.7403

***

> Which formula does entry 2 have?

TeP2Se